## Na2CrSF (PBE with a Hubbard U)

Data for an optimized crystal structure of Na2CrSF.

Cell and atoms, written as CIF:
```
data_Na2CrSF
_space_group_name_H-M_alt 'P 1'
_space_group_IT_number 1
_space_group_name_Hall 'P 1'
_cell_length_a 5.8304
_cell_length_b 5.8304
_cell_length_c 4.4181
_cell_angle_alpha 90.00
_cell_angle_beta 90.00
_cell_angle_gamma 90.00
loop_
_atom_site_label
_atom_site_type_symbol
_atom_site_fract_x
_atom_site_fract_y
_atom_site_fract_z
Na1 Na 0.0000 0.5000 0.0000
Na2 Na 0.5000 0.0000 0.0000
Cr1 Cr 0.0000 0.0000 0.0000
S1 S 0.0000 0.0000 0.5000
F1 F 0.5000 0.5000 0.5000
```

DFT total energy: -3.81 eV/atom
Crystal system: tetragonal
SG: P4/mmm